[1]
## TcRh2 (SCAN)

Data for a PBEsol-optimized structure of TcRh2.

The polymorph energy (0 for the lowest one) comes out at 76 meV/atom. Its formation energy is -0.1074 eV per atom.

It has space group I4_1/amd (No. 141, origin choice 2), with a = 3.801 Å, b = 3.801 Å, c = 22.527 Å, α = 90.00°, β = 90.00° and γ = 90.00°. The distinct sites, in fractional coordinates, are Tc at (0.000, 0.250, 0.289), Rh at (0.000, 0.250, 0.124) and Rh at (0.000, 0.250, 0.791).


[2]
## TlTc3Cl (SCAN)

Data for a PBEsol-optimized structure of TlTc3Cl.

For the formation energy without anion corrections, the calculation gives 2.314 eV per atom. The polymorph energy (0 for the lowest one) comes out at 1130 meV/atom.

It has space group Pm-3m (No. 221), with a = 5.144 Å, b = 5.144 Å, c = 5.144 Å, α = 90.00°, β = 90.00° and γ = 90.00°. The distinct sites, in fractional coordinates, are Tl at (0.000, 0.000, 0.000), Tc at (0.000, 0.000, 0.500) and Cl at (0.500, 0.500, 0.500).


[3]
## La2MgIr (SCAN)

Data for a PBEsol-optimized structure of La2MgIr.

Its formation energy is -0.4521 eV per atom.

It has space group Amm2 (No. 38), with a = 3.823 Å, b = 4.485 Å, c = 12.740 Å, α = 90.00°, β = 90.00° and γ = 90.00°. The distinct sites, in fractional coordinates, are La at (0.000, 0.000, 0.000), La at (0.500, 0.000, 0.307), Mg at (0.000, 0.000, 0.684) and Ir at (0.500, 0.000, 0.528).


[4]
## InFeSi2 (SCAN)

Data for a PBEsol-optimized structure of InFeSi2.

For the formation energy without anion corrections, the calculation gives 0.719 eV per atom.

It has space group F-43m (No. 216), with a = 6.191 Å, b = 6.191 Å, c = 6.191 Å, α = 90.00°, β = 90.00° and γ = 90.00°. The distinct sites, in fractional coordinates, are In at (0.000, 0.000, 0.000), Fe at (0.250, 0.250, 0.750), Si at (0.000, 0.000, 0.500) and Si at (0.250, 0.250, 0.250).


[5]
## Ho2Ge2O7 (SCAN)

Data for a PBEsol-optimized structure of Ho2Ge2O7.

For the formation energy without anion corrections, the calculation gives -2.849 eV per atom. The polymorph energy (0 for the lowest one) comes out at 36 meV/atom.

It has space group C2/m (No. 12), with a = 6.922 Å, b = 9.080 Å, c = 4.951 Å, α = 90.00°, β = 102.17° and γ = 90.00°. The distinct sites, in fractional coordinates, are Ho at (0.000, 0.194, 0.000), Ge at (0.231, 0.500, 0.408), O at (0.000, 0.500, 0.500), O at (0.098, 0.000, 0.275) and O at (0.240, 0.340, 0.211).


[6]
## K2SbAu (SCAN)

Data for a PBEsol-optimized structure of K2SbAu.

For the formation energy without anion corrections, the calculation gives -0.365 eV per atom.

It has space group I-42d (No. 122), with a = 12.236 Å, b = 12.236 Å, c = 5.152 Å, α = 90.00°, β = 90.00° and γ = 90.00°. The distinct sites, in fractional coordinates, are K at (0.061, 0.250, 0.125), Sb at (0.000, 0.000, 0.500) and Au at (0.000, 0.000, 0.000).


[7]
## SiH2Pt2 (SCAN)

Data for a PBEsol-optimized structure of SiH2Pt2.

As for the final energy: -31.490 eV/atom.

It has space group P4/mbm (No. 127), with a = 6.222 Å, b = 6.222 Å, c = 2.733 Å, α = 90.00°, β = 90.00° and γ = 90.00°. The distinct sites, in fractional coordinates, are Si at (0.000, 0.000, 0.000), H at (0.090, 0.410, 0.000) and Pt at (0.213, 0.287, 0.500).


[8]
## Hf2TiS (SCAN)

Data for a PBEsol-optimized structure of Hf2TiS.

For the formation energy without anion corrections, the calculation gives -0.341 eV per atom.

It has space group I-42d (No. 122), with a = 8.089 Å, b = 8.089 Å, c = 4.816 Å, α = 90.00°, β = 90.00° and γ = 90.00°. The distinct sites, in fractional coordinates, are Hf at (0.149, 0.750, 0.125), Ti at (0.000, 0.000, 0.500) and S at (0.000, 0.000, 0.000).


| no. | D(E_F) (states/eV/f.u.) |
| --- | --- |
| 1 | 2.60 |
| 2 | 6.32 |
| 3 | 3.22 |
| 4 | 2.16 |
| 5 | 0.00 |
| 6 | 2.58 |
| 7 | 1.21 |
| 8 | 4.48 |